Record 1
The following is a PBE calculation of a relaxed structure of AcLaNiAs, from Alexandria.

Properties
E_tot = -5.4490 eV per atom
DOS(E_F) = 18.00 states/eV/cell
Crystal system = cubic
DFT formation energy = -582 meV/atom

The structure in CIF format:
```
data_AcLaNiAs
_chemical_formula_sum 'Ac4 La4 Ni4 As4'
_symmetry_space_group_name_H-M 'F -4 3 m'
_symmetry_Int_Tables_number 216
_symmetry_space_group_name_Hall 'F -4 2 3'
_cell_length_a 7.4563
_cell_length_b 7.4563
_cell_length_c 7.4563
_cell_angle_alpha 90.00
_cell_angle_beta 90.00
_cell_angle_gamma 90.00
loop_
_atom_site_label
_atom_site_fract_x
_atom_site_fract_y
_atom_site_fract_z
Ac1 0.0000 0.0000 0.0000
La1 0.0000 0.0000 0.5000
Ni1 0.2500 0.2500 0.2500
As1 0.2500 0.2500 0.7500
```

Record 2
The following is a PBE calculation of a relaxed structure of Th2Ga3CuIr4, from Alexandria.

Properties
E_tot = -7.0103 eV per atom
DOS(E_F) = 4.26 states/eV/cell
Crystal system = tetragonal
DFT formation energy = -664 meV/atom

The structure in CIF format:
```
data_Th2Ga3CuIr4
_chemical_formula_sum 'Th2 Ga3 Cu1 Ir4'
_symmetry_space_group_name_H-M 'P -4 m 2'
_symmetry_Int_Tables_number 115
_cell_length_a 4.2072
_cell_length_b 4.2072
_cell_length_c 10.5153
_cell_angle_alpha 90.00
_cell_angle_beta 90.00
_cell_angle_gamma 90.00
loop_
_symmetry_equiv_pos_as_xyz
'x,y,z'
'y,-x,-z'
'-x,-y,z'
'-y,x,-z'
'-x,y,z'
'-y,-x,-z'
'x,-y,z'
'y,x,-z'
loop_
_atom_site_label
_atom_site_fract_x
_atom_site_fract_y
_atom_site_fract_z
Th1 0.0000 0.5000 0.2454
Ga1 0.0000 0.5000 0.8736
Ga2 0.5000 0.5000 0.5000
Cu1 0.0000 0.0000 0.5000
Ir1 0.0000 0.0000 0.0000
Ir2 0.0000 0.5000 0.6396
Ir3 0.5000 0.5000 0.0000
```

Record 3
The following is a PBE calculation of a relaxed structure of Np2Tl3PtSe6, from Alexandria.

Properties
E_tot = -5.6543 eV per atom
DOS(E_F) = 33.34 states/eV/cell
Crystal system = monoclinic
Uncorrected formation energy = -0.660 eV per atom

The structure in CIF format:
```
data_Np2Tl3PtSe6
_chemical_formula_sum 'Np4 Tl6 Pt2 Se12'
_symmetry_space_group_name_H-M 'C 1 2/m 1'
_symmetry_Int_Tables_number 12
_cell_length_a 7.2518
_cell_length_b 11.7314
_cell_length_c 8.4077
_cell_angle_alpha 90.00
_cell_angle_beta 109.37
_cell_angle_gamma 90.00
loop_
_symmetry_equiv_pos_as_xyz
'x,y,z'
'-x,-y,-z'
'-x,y,-z'
'x,-y,z'
'x+1/2,y+1/2,z'
'-x+1/2,-y+1/2,-z'
'-x+1/2,y+1/2,-z'
'x+1/2,-y+1/2,z'
loop_
_atom_site_label
_atom_site_fract_x
_atom_site_fract_y
_atom_site_fract_z
Np1 0.0000 0.1641 0.0000
Tl1 0.0000 0.0000 0.5000
Tl2 0.0000 0.3256 0.5000
Pt1 0.0000 0.5000 0.0000
Se1 0.2178 0.0000 0.2360
Se2 0.2218 0.3479 0.1854
```

Record 4
The following is a PBE calculation of a relaxed structure of Pd3RhF, from Alexandria.

Properties
E_tot = -3.9923 eV per atom
Relative energy among the computed polymorphs = 456 meV per atom
DOS(E_F) = 6.10 states/eV/cell
Crystal system = cubic
Uncorrected formation energy = 0.968 eV per atom

The structure in CIF format:
```
data_Pd3RhF
_chemical_formula_sum 'Pd3 Rh1 F1'
_symmetry_space_group_name_H-M 'P m -3 m'
_symmetry_Int_Tables_number 221
_symmetry_space_group_name_Hall '-P 4 2 3'
_cell_length_a 4.8292
_cell_length_b 4.8292
_cell_length_c 4.8292
_cell_angle_alpha 90.00
_cell_angle_beta 90.00
_cell_angle_gamma 90.00
loop_
_atom_site_label
_atom_site_fract_x
_atom_site_fract_y
_atom_site_fract_z
Pd1 0.0000 0.0000 0.5000
Rh1 0.0000 0.0000 0.0000
F1 0.5000 0.5000 0.5000
```

Record 5
The following is a PBE calculation of a relaxed structure of CaReNO2, from Alexandria.

Properties
E_tot = -8.0086 eV per atom
DOS(E_F) = 2.19 states/eV/cell
Crystal system = tetragonal
Uncorrected formation energy = -1.470 eV per atom

The structure in CIF format:
```
data_CaReNO2
_chemical_formula_sum 'Ca1 Re1 N1 O2'
_symmetry_space_group_name_H-M 'P 4/m m m'
_symmetry_Int_Tables_number 123
_symmetry_space_group_name_Hall '-P 4 2'
_cell_length_a 3.9456
_cell_length_b 3.9456
_cell_length_c 3.9124
_cell_angle_alpha 90.00
_cell_angle_beta 90.00
_cell_angle_gamma 90.00
loop_
_atom_site_label
_atom_site_fract_x
_atom_site_fract_y
_atom_site_fract_z
Ca1 0.0000 0.0000 0.0000
Re1 0.5000 0.5000 0.5000
N1 0.5000 0.5000 0.0000
O1 0.0000 0.5000 0.5000
```

Record 6
The following is a PBE calculation of a relaxed structure of K2PrThSe4, from Alexandria.

Properties
E_tot = -5.1881 eV per atom
DOS(E_F) = 4.35 states/eV/cell
Crystal system = monoclinic
Uncorrected formation energy = -1.647 eV per atom

The structure in CIF format:
```
data_K2PrThSe4
_chemical_formula_sum 'K2 Pr1 Th1 Se4'
_symmetry_space_group_name_H-M 'P 1 2/m 1'
_symmetry_Int_Tables_number 10
_cell_length_a 7.4628
_cell_length_b 4.3130
_cell_length_c 8.1574
_cell_angle_alpha 90.00
_cell_angle_beta 107.69
_cell_angle_gamma 90.00
loop_
_symmetry_equiv_pos_as_xyz
'x,y,z'
'-x,-y,-z'
'-x,y,-z'
'x,-y,z'
loop_
_atom_site_label
_atom_site_fract_x
_atom_site_fract_y
_atom_site_fract_z
K1 0.0000 0.0000 0.0000
K2 0.5000 0.5000 0.0000
Pr1 0.0000 0.5000 0.5000
Th1 0.5000 0.0000 0.5000
Se1 0.2461 0.0000 0.7161
Se2 0.2680 0.5000 0.2854
```